1.
Below is a relaxed structure of TeH3S, with properties calculated at the PBE level.

Cell lengths 3.7414, 3.7414, 3.7414 Å; angles 90.00, 90.00, 90.00 degrees
Closest atoms and distances in Å follow each position.
Positions (direct):
H: 0.0000 0.0000 0.5000  2 S 1.87
H: 0.5000 0.0000 0.0000  2 S 1.87
H: 0.0000 0.5000 0.0000  2 S 1.87
Te: 0.5000 0.5000 0.5000  12 H 2.65
S: 0.0000 0.0000 0.0000  6 H 1.87

Results
Density in g cm⁻³: 5.2
M_tot in μB per atom: 0.000
Calculated total energy in eV/atom: -2.608
Space group: Pm-3m, No. 221

---

2.
Below is a relaxed structure of Na2ScBeAg, with properties calculated at the PBE level.

Cell lengths 5.2182, 5.3992, 5.2182 Å; angles 90.00, 90.00, 90.00 degrees
Closest atoms and distances in Å follow each position.
Positions (direct):
Sc: 0.0000 0.5000 0.0000  2 Ag 2.70
Na: 0.0000 0.0000 0.5000  2 Ag 2.61
Na: 0.5000 0.0000 0.0000  2 Ag 2.61
Be: 0.5000 0.5000 0.5000  4 Sc 3.69, 8 Na 3.75
Ag: 0.0000 0.0000 0.0000  4 Na 2.61, 2 Sc 2.70

Results
Energy of formation from the pure elements in eV/atom: 0.85
Density in g cm⁻³: 2.3
M_tot in μB per atom: 0.000
Space group: P4/mmm, No. 123

---

3.
Below is a relaxed structure of BaZr4Mo, with properties calculated at the PBE level.

Cell lengths 5.8918, 5.8918, 5.8918 Å; angles 60.00, 60.00, 60.00 degrees
Closest atoms and distances in Å follow each position.
Positions (direct):
Ba: 0.7500 0.7500 0.7500  12 Zr 3.46, 4 Mo 3.61
Zr: 0.3729 0.8813 0.3729  6 Zr 2.90-3.00
Zr: 0.3729 0.3729 0.8813  6 Zr 2.90-3.00
Zr: 0.8813 0.3729 0.3729  6 Zr 2.90-3.00
Zr: 0.3729 0.3729 0.3729  6 Zr 2.90-3.00
Mo: 0.0000 0.0000 0.0000  12 Zr 3.45, 4 Ba 3.61

Results
Energy of formation from the pure elements in eV/atom: 0.82
Density in g cm⁻³: 6.9
M_tot in μB per atom: 0.000
Space group: F-43m, No. 216

---

4.
Below is a relaxed structure of BaH6N2Cl2, with properties calculated at the PBE level.

Cell lengths 5.5168, 7.5364, 8.1659 Å; angles 141.29, 90.02, 68.46 degrees
Closest atoms and distances in Å follow each position.
Positions (direct):
Ba: 0.5000 0.0000 0.5000  2 N 2.93, 2 Cl 3.16, 4 H 3.24-3.25
Cl: 0.2431 0.5144 0.1729  3 H 2.60
Cl: 0.7569 0.4856 0.8271  3 H 2.60
H: 0.3098 0.6796 0.7739  1 N 1.02
H: 0.2279 0.5439 0.5124  1 N 1.03
H: 0.6902 0.3204 0.2261  1 N 1.02
H: 0.0096 0.6806 0.7743  1 N 1.02
H: 0.9904 0.3194 0.2257  1 N 1.02
H: 0.7721 0.4561 0.4876  1 N 1.03
N: 0.2274 0.5446 0.6385  3 H 1.02-1.03
N: 0.7726 0.4554 0.3615  3 H 1.02-1.03

Results
Density in g cm⁻³: 2.3
M_tot in μB per atom: 0.000
Calculated total energy in eV/atom: -4.804
Space group: P-1, No. 2